[1]
A plane-wave DFT calculation with GGA-PBE was carried out for crystalline Tc2RuW at its relaxed geometry.

For the density, the calculation gives 13.32 Mg/m³. As for the formation energy: 0.27 eV per atom. Its total magnetic moment is 0.00 μB per cell. The calculation puts the distance to the lowest polymorph of the same formula at 210 meV per atom.

It has space group Pmmm (No. 47), with a = 2.938 Å, b = 4.503 Å, c = 4.531 Å, α = 90.00°, β = 90.00° and γ = 90.00°. Symmetry generates all atoms from Tc at (0.000, 0.000, 0.000), Tc at (0.500, 0.500, 0.000), Ru at (0.000, 0.500, 0.500) and W at (0.500, 0.000, 0.500).

---

[2]
A plane-wave DFT calculation with GGA-PBE was carried out for crystalline TcRu2W at its relaxed geometry.

For the density, the calculation gives 13.72 Mg/m³. As for the formation energy: 0.03 eV per atom. Its total magnetic moment is 0.00 μB per cell. The calculation puts the distance to the lowest polymorph of the same formula at 15 meV per atom.

It has space group Cmmm (No. 65), with a = 5.512 Å, b = 7.721 Å, c = 2.752 Å, α = 90.00°, β = 90.00° and γ = 90.00°. Symmetry generates all atoms from Tc at (0.000, 0.000, 0.000), Ru at (0.250, 0.250, 0.500) and W at (0.000, 0.500, 0.000).

---

[3]
A plane-wave DFT calculation with GGA-PBE was carried out for crystalline TcRuW2 at its relaxed geometry.

For the density, the calculation gives 15.34 Mg/m³. As for the formation energy: 0.20 eV per atom. Its total magnetic moment is 0.00 μB per cell. The calculation puts the distance to the lowest polymorph of the same formula at 82 meV per atom.

It has space group P4/mmm (No. 123), with a = 3.237 Å, b = 3.237 Å, c = 5.853 Å, α = 90.00°, β = 90.00° and γ = 90.00°. Symmetry generates all atoms from Tc at (0.000, 0.000, 0.000), Ru at (0.000, 0.000, 0.500) and W at (0.500, 0.500, 0.252).

---

[4]
A plane-wave DFT calculation with GGA-PBE was carried out for crystalline TcRu2W at its relaxed geometry.

For the density, the calculation gives 13.71 Mg/m³. As for the formation energy: 0.04 eV per atom. Its total magnetic moment is 0.00 μB per cell. The calculation puts the distance to the lowest polymorph of the same formula at 30 meV per atom.

It has space group I-4m2 (No. 119), with a = 3.867 Å, b = 3.867 Å, c = 7.838 Å, α = 90.00°, β = 90.00° and γ = 90.00°. Symmetry generates all atoms from Tc at (0.000, 0.000, 0.000), Ru at (0.000, 0.000, 0.500), Ru at (0.000, 0.500, 0.750) and W at (0.000, 0.500, 0.250).